Here is a relaxed Pa2TeN3 crystal from Alexandria via LeMat-Bulk. Energies are from PBE.

Computed properties:
- formation energy without anion corrections (eV per atom) = -1.493
- space-group type = C2/m
- magnetization (μB/cell) = 0.00

Cell: 3.898 6.754 9.513 Å, 111.25 90.00 106.77°
Sites, in units of the cell vectors:
Pa 0.505 0.010 0.758
Pa 0.495 0.990 0.242
Pa 0.840 0.679 0.421
Pa 0.160 0.321 0.579
Te 0.878 0.757 0.927
Te 0.122 0.243 0.073
N 0.337 0.673 0.574
N 0.999 0.999 0.644
N 0.656 0.313 0.713
N 0.344 0.687 0.287
N 0.001 0.001 0.356
N 0.663 0.327 0.426


Here is a relaxed PaTeN crystal from Alexandria via LeMat-Bulk. Energies are from PBE.

Computed properties:
- formation energy without anion corrections (eV per atom) = -0.858
- relative energy among the computed polymorphs (eV per atom) = 0.697
- DOS at the Fermi energy (states/eV per atom) = 0.971
- space-group type = I4mm
- magnetization (μB/cell) = 0.41

Cell: 3.251 3.251 6.466 Å, 104.56 104.56 90.00°
Last column: magnetic moment on the atom in μB.
Sites, in units of the cell vectors:
Pa 0.728 0.728 0.455  0.39
Te 0.003 0.003 0.007  -0.01
N 0.269 0.269 0.538  -0.03


Here is a relaxed Pa2TeN crystal from Alexandria via LeMat-Bulk. Energies are from PBE.

Computed properties:
- formation energy without anion corrections (eV per atom) = -1.051
- relative energy among the computed polymorphs (eV per atom) = 0.000
- DOS at the Fermi energy (states/eV per atom) = 1.151
- space-group type = R-3m
- magnetization (μB/cell) = 0.00

Cell: 3.640 3.640 7.630 Å, 76.20 76.20 60.00°
Sites, in units of the cell vectors:
Pa 0.272 0.272 0.184
Pa 0.728 0.728 0.816
Te 0.500 0.500 0.500
N 0.000 0.000 0.000


Here is a relaxed Pa4Te3N4 crystal from Alexandria via LeMat-Bulk. Energies are from PBE.

Computed properties:
- formation energy without anion corrections (eV per atom) = -1.327
- DOS at the Fermi energy (states/eV per atom) = 0.528
- space-group type = Immm
- magnetization (μB/cell) = 0.35

Cell: 3.894 4.179 14.007 Å, 98.58 97.99 90.00°
Last column: magnetic moment on the atom in μB.
Sites, in units of the cell vectors:
Pa 0.793 0.293 0.586  0.01
Pa 0.428 0.428 0.857  0.13
Pa 0.572 0.572 0.143  0.13
Pa 0.207 0.707 0.414  0.01
Te 0.347 0.847 0.693  0.00
Te 0.653 0.153 0.307  0.00
Te 0.000 0.000 0.000  -0.01
N 0.253 0.253 0.505  0.00
N 0.100 0.600 0.200  -0.01
N 0.900 0.400 0.800  -0.01
N 0.747 0.747 0.495  0.00


Here is a relaxed Pa2Te2N crystal from Alexandria via LeMat-Bulk. Energies are from PBE.

Computed properties:
- formation energy without anion corrections (eV per atom) = -1.100
- relative energy among the computed polymorphs (eV per atom) = 0.024
- DOS at the Fermi energy (states/eV per atom) = 1.304
- space-group type = C2/m
- magnetization (μB/cell) = 3.50

Cell: 6.183 6.844 8.685 Å, 121.84 90.00 116.86°
Last column: magnetic moment on the atom in μB.
Sites, in units of the cell vectors:
Pa 0.175 0.351 0.586  0.87
Pa 0.825 0.649 0.414  0.87
Pa 0.434 0.869 0.136  0.57
Pa 0.566 0.131 0.864  0.57
Te 0.679 0.358 0.603  -0.02
Te 0.321 0.642 0.397  -0.02
Te 0.090 0.181 0.862  -0.03
Te 0.910 0.819 0.138  -0.03
N 0.377 0.753 0.843  -0.03
N 0.623 0.247 0.157  -0.03


Here is a relaxed Pa2TeN crystal from Alexandria via LeMat-Bulk. Energies are from PBE.

Computed properties:
- formation energy without anion corrections (eV per atom) = -0.332
- relative energy among the computed polymorphs (eV per atom) = 0.719
- DOS at the Fermi energy (states/eV per atom) = 1.603
- space-group type = P4/mmm
- magnetization (μB/cell) = 0.00

Cell: 3.336 3.336 7.063 Å, 90.00 90.00 90.00°
Sites, in units of the cell vectors:
Pa 0.000 0.000 0.796
Pa 0.000 0.000 0.204
Te 0.500 0.500 0.500
N 0.500 0.500 0.000


Here is a relaxed Pa2Te2N crystal from Alexandria via LeMat-Bulk. Energies are from PBE.

Computed properties:
- formation energy without anion corrections (eV per atom) = -1.124
- relative energy among the computed polymorphs (eV per atom) = 0.000
- DOS at the Fermi energy (states/eV per atom) = 1.420
- space-group type = Ibam
- magnetization (μB/cell) = 4.82

Cell: 6.011 7.854 7.854 Å, 47.63 67.50 67.50°
Last column: magnetic moment on the atom in μB.
Sites, in units of the cell vectors:
Pa 0.093 0.598 0.216  1.03
Pa 0.907 0.402 0.784  1.03
Pa 0.407 0.784 0.402  1.03
Pa 0.593 0.216 0.598  1.03
Te 0.344 0.343 0.970  -0.03
Te 0.656 0.657 0.030  -0.03
Te 0.156 0.030 0.657  -0.03
Te 0.844 0.970 0.343  -0.03
N 0.250 0.500 0.500  -0.06
N 0.750 0.500 0.500  -0.06


Here is a relaxed PaTeN crystal from Alexandria via LeMat-Bulk. Energies are from PBE.

Computed properties:
- formation energy without anion corrections (eV per atom) = -1.303
- relative energy among the computed polymorphs (eV per atom) = 0.252
- DOS at the Fermi energy (states/eV per atom) = 0.077
- space-group type = P-6m2
- magnetization (μB/cell) = 0.00

Cell: 4.735 3.887 3.887 Å, 120.00 90.00 90.00°
Sites, in units of the cell vectors:
Pa 0.167 0.000 0.000
Te 0.667 0.667 0.333
N 0.167 0.333 0.667


Question: The lowest formation energy without anion corrections belongs to which entry?
Answer: Pa2TeN3